1.
DFT (PBE) results for a geometry-optimized BaYO2F structure.

```
BaYO2F
1.0
-2.7564 -0.1331 4.0618
-3.7711 -1.7458 -2.6163
1.4461 -4.3794 0.8378
O F Y Ba
2 1 1 1
Direct
0.0000 0.5000 0.0000 O
0.5000 0.0000 0.0000 O
0.0000 0.0000 0.5000 F
0.5000 0.5000 0.5000 Y
0.0000 0.0000 0.0000 Ba
```

Space group: P4/mmm (123)
ρ, g cm⁻³: 4.07
Uncorrected formation energy, meV per atom: -1506
Crystal system: tetragonal

=====

2.
DFT (PBE) results for a geometry-optimized Ba3Y2O4F3 structure.

```
Ba3Y2O4F3
1.0
4.3441 0.0000 0.0000
0.0000 4.3167 0.0000
-2.1721 -2.1584 11.9476
Ba F O Y
3 3 4 2
Direct
0.7011 0.6987 0.3975 Ba
0.3036 0.3013 0.6025 Ba
0.5023 0.5000 0.0000 Ba
0.0023 0.0000 0.0000 F
0.0789 0.5766 0.1532 F
0.9257 0.4234 0.8468 F
0.5881 0.0858 0.1715 O
0.8092 0.8069 0.6139 O
0.4166 0.9142 0.8285 O
0.1954 0.1931 0.3861 O
0.1045 0.1022 0.2045 Y
0.9001 0.8978 0.7955 Y
```

Space group: Immm (71)
ρ, g cm⁻³: 5.27
Uncorrected formation energy, meV per atom: -3140
Crystal system: orthorhombic

=====

For each record above, in turn, the calculated density of states at the Fermi level values are 0.3543 0.2791 states/eV per atom.